# VPdIO2 (GGA+U, optimized geometry)
# Fermi-level density of states = 0.430 states/eV per atom
# energy above the most stable polymorph in this dataset = 0.0 meV/atom
# VASP energy = -5.55 eV per atom
# crystal system = tetragonal
data_VPdIO2
_cell_length_a 3.776
_cell_length_b 3.776
_cell_length_c 6.124
_cell_angle_alpha 90.00
_cell_angle_beta 90.00
_cell_angle_gamma 90.00
_symmetry_space_group_name_H-M 'P 4/m m m'
_symmetry_Int_Tables_number 123
_symmetry_space_group_name_Hall '-P 4 2'
loop_
_atom_site_label
_atom_site_fract_x
_atom_site_fract_y
_atom_site_fract_z
V1 0.000 0.000 0.000
Pd1 0.500 0.500 0.500
I1 0.000 0.000 0.500
O1 0.000 0.500 0.000